A geometry-optimized Co2IrPt structure, computed with PBE.

Cell: 5.393 7.321 2.674 Å, 90.00 90.00 90.00°
Positions (direct):
Co: 0.250 0.250 0.000
Co: 0.250 0.750 0.000
Co: 0.750 0.250 0.000
Co: 0.750 0.750 0.000
Ir: 0.000 0.000 0.500
Ir: 0.500 0.500 0.500
Pt: 0.000 0.500 0.500
Pt: 0.500 0.000 0.500

Calculated values
Fermi-level density of states	6.376	states/eV/f.u.
calculated volume	105.6	Å³/cell
magnetization	4.26	μB/f.u.
formation enthalpy at 0 K	0.00	eV/atom

***

A geometry-optimized CoIrPt structure, computed with PBE.

Cell: 4.294 4.294 2.669 Å, 90.00 90.00 120.00°
Positions (direct):
Co: 0.000 0.000 0.000
Ir: 0.333 0.667 0.500
Pt: 0.667 0.333 0.000

Calculated values
Fermi-level density of states	3.654	states/eV/f.u.
calculated volume	42.6	Å³/cell
magnetization	3.10	μB/f.u.
formation enthalpy at 0 K	0.18	eV/atom

***

A geometry-optimized CoIr6Pt structure, computed with PBE.

Cell: 8.613 3.846 7.705 Å, 90.00 116.45 90.00°
Positions (direct):
Co: 0.000 0.000 0.000
Co: 0.500 0.500 0.000
Ir: 0.000 0.500 0.245
Ir: 0.000 0.500 0.755
Ir: 0.245 0.000 0.367
Ir: 0.246 0.500 0.118
Ir: 0.254 0.000 0.882
Ir: 0.255 0.500 0.633
Ir: 0.500 0.000 0.245
Ir: 0.500 0.000 0.755
Ir: 0.745 0.500 0.367
Ir: 0.746 0.000 0.118
Ir: 0.754 0.500 0.882
Ir: 0.755 0.000 0.633
Pt: 0.000 0.000 0.500
Pt: 0.500 0.500 0.500

Calculated values
Fermi-level density of states	8.584	states/eV/f.u.
calculated volume	228.5	Å³/cell
magnetization	1.96	μB/f.u.
formation enthalpy at 0 K	0.03	eV/atom

***

A geometry-optimized Co2IrPt structure, computed with PBE.

Cell: 2.681 2.681 25.694 Å, 90.00 90.00 120.00°
Positions (direct):
Co: 0.000 0.000 0.000
Co: 0.000 0.000 0.259
Co: 0.333 0.667 0.667
Co: 0.333 0.667 0.926
Co: 0.667 0.333 0.333
Co: 0.667 0.333 0.592
Ir: 0.000 0.000 0.747
Ir: 0.333 0.667 0.414
Ir: 0.667 0.333 0.081
Pt: 0.000 0.000 0.508
Pt: 0.333 0.667 0.175
Pt: 0.667 0.333 0.841

Calculated values
Fermi-level density of states	6.079	states/eV/f.u.
calculated volume	160.0	Å³/cell
magnetization	3.77	μB/f.u.
formation enthalpy at 0 K	0.06	eV/atom

***

> Which value of magnetization does entry 2 give?

3.10 μB/f.u.

***

> Which value of calculated volume does entry 4 give?

160.0 Å³/cell